VASP calculation (PBE+U) on a geometry-optimized Ca4Mo6O19 structure.

a = 9.2798 Å, b = 9.2798 Å, c = 9.2798 Å
α = 90.00°, β = 90.00°, γ = 90.00°
Space group I23 (No. 197)
One atom of each set of equivalent atoms:
Ca 0.1404 0.1404 0.8596 [8 per cell]
Mo 0.0000 0.3388 0.5000 [12 per cell]
O 0.0000 0.0000 0.0000 [2 per cell]
O 0.0000 0.0000 0.3548 [12 per cell]
O 0.0177 0.3176 0.7037 [24 per cell]

Calculated values
Its volume is 13.8 Å³ per atom. The value obtained for the size of the total moment is 12.00 μB per cell. For the raw total energy, the calculation gives -0.25807 hartree per atom.